[1]
Density functional theory data (PBE) for a relaxed structure of NiAgOs2.

CIF file:
```
data_NiAgOs2
_chemical_formula_sum 'Ni4 Ag4 Os8'
_space_group_name_H-M_alt 'F -4 3 m'
_space_group_IT_number 216
_space_group_name_Hall 'F -4 2 3'
_cell_length_a 6.1412
_cell_length_b 6.1412
_cell_length_c 6.1412
_cell_angle_alpha 90.00
_cell_angle_beta 90.00
_cell_angle_gamma 90.00
loop_
_atom_site_label
_atom_site_fract_x
_atom_site_fract_y
_atom_site_fract_z
Ni1 0.0000 0.0000 0.0000
Ag1 0.2500 0.2500 0.7500
Os1 0.0000 0.0000 0.5000
Os2 0.2500 0.2500 0.2500
```

Calculated values
N(E_F) ... 24.44 states/eV/cell
Energy of formation ... 0.708 eV per atom
E ... -7.06 eV per atom
Volume ... 232 Å³/cell


[2]
Density functional theory data (PBE) for a relaxed structure of AgS5.

CIF file:
```
data_AgS5
_chemical_formula_sum 'Ag1 S5'
_space_group_name_H-M_alt 'P 1'
_space_group_IT_number 1
_space_group_name_Hall 'P 1'
_cell_length_a 4.8788
_cell_length_b 5.7412
_cell_length_c 5.7553
_cell_angle_alpha 86.85
_cell_angle_beta 83.44
_cell_angle_gamma 83.53
loop_
_atom_site_label
_atom_site_fract_x
_atom_site_fract_y
_atom_site_fract_z
Ag1 0.0000 0.0000 0.0000
S1 0.2433 0.6073 0.6056
S2 0.3004 0.3508 0.3510
S3 0.5261 0.9145 0.9143
S4 0.6387 0.6650 0.6665
S5 0.9077 0.3048 0.3050
```

Calculated values
N(E_F) ... 1.47 states/eV/cell
E ... -3.67 eV per atom
Energy relative to the elements, uncorrected ... 0.242 eV per atom
Volume ... 159 Å³/cell


[3]
Density functional theory data (PBE) for a relaxed structure of Tl2Te.

CIF file:
```
data_Tl2Te
_chemical_formula_sum 'Tl8 Te4'
_space_group_name_H-M_alt 'P n m a'
_space_group_IT_number 62
_space_group_name_Hall '-P 2ac 2n'
_cell_length_a 7.4592
_cell_length_b 5.2434
_cell_length_c 11.0719
_cell_angle_alpha 90.00
_cell_angle_beta 90.00
_cell_angle_gamma 90.00
loop_
_atom_site_label
_atom_site_fract_x
_atom_site_fract_y
_atom_site_fract_z
Tl1 0.0086 0.2500 0.1798
Tl2 0.1705 0.2500 0.5971
Te1 0.2294 0.2500 0.9183
```

Calculated values
N(E_F) ... 0.30 states/eV/cell
E ... -2.91 eV per atom
Energy relative to the elements, uncorrected ... -0.282 eV per atom
Volume ... 433 Å³/cell


[4]
Density functional theory data (PBE) for a relaxed structure of AcLa2Si.

CIF file:
```
data_AcLa2Si
_chemical_formula_sum 'Ac3 La6 Si3'
_space_group_name_H-M_alt 'R -3 m'
_space_group_IT_number 166
_space_group_name_Hall '-R 3 2"'
_cell_length_a 4.0870
_cell_length_b 4.0870
_cell_length_c 32.9119
_cell_angle_alpha 90.00
_cell_angle_beta 90.00
_cell_angle_gamma 120.00
loop_
_atom_site_label
_atom_site_fract_x
_atom_site_fract_y
_atom_site_fract_z
Ac1 0.0000 0.0000 0.0000
La1 0.0000 0.0000 0.1140
Si1 0.0000 0.0000 0.5000
```

Calculated values
N(E_F) ... 15.22 states/eV/cell
E ... -4.94 eV per atom
Energy relative to the elements, uncorrected ... -0.095 eV per atom
Volume ... 476 Å³/cell


[5]
Density functional theory data (PBE) for a relaxed structure of Y2FeOs.

CIF file:
```
data_Y2FeOs
_chemical_formula_sum 'Y8 Fe4 Os4'
_space_group_name_H-M_alt 'F -4 3 m'
_space_group_IT_number 216
_space_group_name_Hall 'F -4 2 3'
_cell_length_a 6.7577
_cell_length_b 6.7577
_cell_length_c 6.7577
_cell_angle_alpha 90.00
_cell_angle_beta 90.00
_cell_angle_gamma 90.00
loop_
_atom_site_label
_atom_site_fract_x
_atom_site_fract_y
_atom_site_fract_z
Y1 0.0000 0.0000 0.0000
Y2 0.2500 0.2500 0.2500
Fe1 0.0000 0.0000 0.5000
Os1 0.2500 0.2500 0.7500
```

Calculated values
N(E_F) ... 22.87 states/eV/cell
Energy of formation ... 0.314 eV per atom
E ... -7.84 eV per atom
Volume ... 309 Å³/cell


[6]
Density functional theory data (PBE) for a relaxed structure of CaTe2ICl.

CIF file:
```
data_CaTe2ICl
_chemical_formula_sum 'Ca1 Te2 I1 Cl1'
_space_group_name_H-M_alt 'P 4/m m m'
_space_group_IT_number 123
_space_group_name_Hall '-P 4 2'
_cell_length_a 5.5670
_cell_length_b 5.5670
_cell_length_c 5.5325
_cell_angle_alpha 90.00
_cell_angle_beta 90.00
_cell_angle_gamma 90.00
loop_
_atom_site_label
_atom_site_fract_x
_atom_site_fract_y
_atom_site_fract_z
Ca1 0.0000 0.0000 0.0000
Te1 0.0000 0.5000 0.5000
I1 0.5000 0.5000 0.0000
Cl1 0.5000 0.5000 0.5000
```

Calculated values
N(E_F) ... 3.86 states/eV/cell
E ... -2.44 eV per atom
Energy relative to the elements, uncorrected ... -0.108 eV per atom
Volume ... 171 Å³/cell


- What is the N(E_F) in the second record?
  1.47 states/eV/cell


- N(E_F) of number 2 (AgS5)?
  1.47 states/eV/cell